Li2NbV3O8 at its PBEsol-relaxed geometry, computed with SCAN.

```
Li2NbV3O8
1.0
8.296 0.000 0.000
0.000 8.296 0.000
0.000 0.000 8.296
Li Nb V O
8 4 12 32
Direct
0.000 0.000 0.000
0.250 0.250 0.250
0.250 0.750 0.750
0.500 0.000 0.500
0.500 0.500 0.000
0.750 0.250 0.750
0.750 0.750 0.250
0.000 0.500 0.500
0.125 0.875 0.375
0.375 0.125 0.875
0.625 0.625 0.625
0.875 0.375 0.125
0.118 0.132 0.625
0.125 0.382 0.868
0.132 0.625 0.118
0.368 0.375 0.618
0.375 0.618 0.368
0.382 0.868 0.125
0.618 0.368 0.375
0.625 0.118 0.132
0.632 0.875 0.882
0.868 0.125 0.382
0.875 0.882 0.632
0.882 0.632 0.875
0.109 0.121 0.385
0.115 0.891 0.621
0.118 0.618 0.882
0.129 0.141 0.865
0.121 0.385 0.109
0.132 0.368 0.632
0.135 0.629 0.359
0.141 0.865 0.129
0.359 0.135 0.629
0.365 0.371 0.859
0.368 0.632 0.132
0.379 0.615 0.609
0.371 0.859 0.365
0.382 0.382 0.382
0.385 0.109 0.121
0.391 0.879 0.885
0.609 0.379 0.615
0.615 0.609 0.379
0.618 0.882 0.118
0.629 0.359 0.135
0.621 0.115 0.891
0.632 0.132 0.368
0.635 0.871 0.641
0.641 0.635 0.871
0.859 0.365 0.371
0.865 0.129 0.141
0.868 0.868 0.868
0.879 0.885 0.391
0.871 0.641 0.635
0.882 0.118 0.618
0.885 0.391 0.879
0.891 0.621 0.115
```

For the total energy, the calculation gives -176.88 eV/f.u. The value obtained for the volume is 10.19 A^3/atom. The calculation puts the uncorrected formation energy at -2.6179 eV per atom. The calculation puts the energy above the most stable polymorph in this dataset at 39 meV/atom.